P.
The following is a GGA-PBE calculation of LiH4Pd after structural relaxation, from the Alexandria database.

Results
spin magnetization	0.0	μB/cell
volume	8.5	Å³/atom

Cell lengths 5.297, 5.297, 4.722 Å; angles 93.32, 93.32, 50.14 degrees
Positions (direct):
1 Li 0.246 0.246 0.248
2 Li 0.754 0.754 0.752
3 H 0.149 0.630 0.487
4 H 0.245 0.755 0.000
5 H 0.265 0.265 0.831
6 H 0.370 0.851 0.513
7 H 0.630 0.149 0.487
8 H 0.735 0.735 0.169
9 H 0.755 0.245 0.000
10 H 0.851 0.370 0.513
11 Pd 0.428 0.428 0.739
12 Pd 0.572 0.572 0.261

=====

Q.
The following is a GGA-PBE calculation of LiH4Pd after structural relaxation, from the Alexandria database.

Results
spin magnetization	0.0	μB/cell
volume	9.0	Å³/atom

Cell lengths 5.091, 5.091, 4.948 Å; angles 95.38, 95.38, 120.99 degrees
Positions (direct):
1 Li 0.245 0.755 0.750
2 Li 0.755 0.245 0.250
3 H 0.099 0.527 0.063
4 H 0.232 0.378 0.506
5 H 0.378 0.232 0.006
6 H 0.473 0.901 0.437
7 H 0.527 0.099 0.563
8 H 0.622 0.768 0.994
9 H 0.768 0.622 0.494
10 H 0.901 0.473 0.937
11 Pd 0.426 0.574 0.250
12 Pd 0.574 0.426 0.750

=====

What are the relative energies? In meV/atom: P 89; Q 0.

=====

P.
The following is a GGA-PBE calculation of LiH6Pd8 after structural relaxation, from the Alexandria database.

Results
spin magnetization	0.0	μB/cell
volume	10.3	Å³/atom

Cell lengths 7.888, 7.888, 2.877 Å; angles 90.00, 90.00, 120.00 degrees
Positions (direct):
1 Li 0.000 0.000 0.000
2 H 0.143 0.434 0.804
3 H 0.290 0.857 0.804
4 H 0.434 0.290 0.196
5 H 0.566 0.710 0.804
6 H 0.710 0.143 0.196
7 H 0.857 0.566 0.196
8 Pd 0.023 0.685 0.704
9 Pd 0.315 0.337 0.704
10 Pd 0.333 0.667 0.153
11 Pd 0.337 0.023 0.296
12 Pd 0.663 0.977 0.704
13 Pd 0.667 0.333 0.847
14 Pd 0.685 0.663 0.296
15 Pd 0.977 0.315 0.296

=====

Q.
The following is a GGA-PBE calculation of LiH6Pd8 after structural relaxation, from the Alexandria database.

Results
spin magnetization	0.0	μB/cell
volume	10.6	Å³/atom

Cell lengths 5.051, 5.051, 14.333 Å; angles 90.00, 90.00, 120.00 degrees
Positions (direct):
1 Li 0.000 0.000 0.000
2 Li 0.000 0.000 0.500
3 H 0.000 0.000 0.237
4 H 0.000 0.000 0.737
5 H 0.000 0.361 0.056
6 H 0.000 0.639 0.556
7 H 0.333 0.667 0.373
8 H 0.333 0.667 0.873
9 H 0.361 0.000 0.056
10 H 0.361 0.361 0.556
11 H 0.639 0.000 0.556
12 H 0.639 0.639 0.056
13 H 0.667 0.333 0.373
14 H 0.667 0.333 0.873
15 Pd 0.000 0.322 0.836
16 Pd 0.000 0.336 0.175
17 Pd 0.000 0.664 0.675
18 Pd 0.000 0.678 0.336
19 Pd 0.322 0.000 0.836
20 Pd 0.322 0.322 0.336
21 Pd 0.333 0.667 0.002
22 Pd 0.333 0.667 0.502
23 Pd 0.336 0.000 0.175
24 Pd 0.336 0.336 0.675
25 Pd 0.664 0.000 0.675
26 Pd 0.664 0.664 0.175
27 Pd 0.667 0.333 0.002
28 Pd 0.667 0.333 0.502
29 Pd 0.678 0.000 0.336
30 Pd 0.678 0.678 0.836

=====

What are the relative energies? In meV/atom: P 13; Q 0.

=====

P.
The following is a GGA-PBE calculation of Li3H3Pd after structural relaxation, from the Alexandria database.

Results
spin magnetization	0.0	μB/cell
volume	9.7	Å³/atom

Cell lengths 5.278, 5.278, 5.312 Å; angles 92.64, 92.64, 112.56 degrees
Positions (direct):
1 Li 0.176 0.824 0.000
2 Li 0.260 0.740 0.500
3 Li 0.372 0.372 0.167
4 Li 0.628 0.628 0.833
5 Li 0.740 0.260 0.500
6 Li 0.824 0.176 0.000
7 H 0.105 0.105 0.321
8 H 0.163 0.490 0.805
9 H 0.490 0.163 0.805
10 H 0.510 0.837 0.195
11 H 0.837 0.510 0.195
12 H 0.895 0.895 0.679
13 Pd 0.207 0.207 0.665
14 Pd 0.793 0.793 0.335

=====

Q.
The following is a GGA-PBE calculation of Li3H3Pd after structural relaxation, from the Alexandria database.

Results
spin magnetization	0.0	μB/cell
volume	9.1	Å³/atom

Cell lengths 5.543, 5.543, 4.171 Å; angles 90.00, 90.00, 95.37 degrees
Positions (direct):
1 Li 0.125 0.875 0.750
2 Li 0.145 0.389 0.750
3 Li 0.389 0.145 0.250
4 Li 0.611 0.855 0.750
5 Li 0.855 0.611 0.250
6 Li 0.875 0.125 0.250
7 H 0.125 0.875 0.250
8 H 0.143 0.395 0.250
9 H 0.395 0.143 0.750
10 H 0.605 0.857 0.250
11 H 0.857 0.605 0.750
12 H 0.875 0.125 0.750
13 Pd 0.357 0.643 0.250
14 Pd 0.643 0.357 0.750

=====

What are the relative energies? In meV/atom: P 25; Q 0.

=====

P.
The following is a GGA-PBE calculation of Li2H4Pd after structural relaxation, from the Alexandria database.

Results
spin magnetization	0.0	μB/cell
volume	9.1	Å³/atom

Cell lengths 5.385, 5.385, 4.470 Å; angles 90.00, 90.00, 102.01 degrees
Positions (direct):
1 Li 0.085 0.385 0.250
2 Li 0.385 0.085 0.750
3 Li 0.615 0.915 0.250
4 Li 0.915 0.615 0.750
5 H 0.147 0.343 0.750
6 H 0.252 0.748 0.505
7 H 0.252 0.748 0.995
8 H 0.343 0.147 0.250
9 H 0.657 0.853 0.750
10 H 0.748 0.252 0.005
11 H 0.748 0.252 0.495
12 H 0.853 0.657 0.250
13 Pd 0.109 0.891 0.250
14 Pd 0.891 0.109 0.750

=====

Q.
The following is a GGA-PBE calculation of Li2H4Pd after structural relaxation, from the Alexandria database.

Results
spin magnetization	0.0	μB/cell
volume	8.9	Å³/atom

Cell lengths 5.552, 5.552, 5.552 Å; angles 142.64, 142.64, 53.86 degrees
Positions (direct):
1 Li 0.137 0.137 0.000
2 Li 0.863 0.863 0.000
3 H 0.000 0.500 0.500
4 H 0.328 0.328 0.000
5 H 0.500 0.000 0.500
6 H 0.672 0.672 0.000
7 Pd 0.500 0.500 0.000

=====

What are the relative energies? In meV/atom: P 51; Q 0.

=====

P.
The following is a GGA-PBE calculation of Li2H3Pd2 after structural relaxation, from the Alexandria database.

Results
spin magnetization	0.0	μB/cell
volume	9.4	Å³/atom

Cell lengths 5.274, 5.023, 5.685 Å; angles 90.00, 119.28, 90.00 degrees
Positions (direct):
1 Li 0.158 0.155 0.388
2 Li 0.158 0.345 0.888
3 Li 0.842 0.655 0.112
4 Li 0.842 0.845 0.612
5 H 0.000 0.000 0.000
6 H 0.000 0.500 0.500
7 H 0.298 0.562 0.265
8 H 0.298 0.938 0.765
9 H 0.702 0.062 0.235
10 H 0.702 0.438 0.735
11 Pd 0.345 0.654 0.602
12 Pd 0.345 0.846 0.102
13 Pd 0.655 0.154 0.898
14 Pd 0.655 0.346 0.398

=====

Q.
The following is a GGA-PBE calculation of Li2H3Pd2 after structural relaxation, from the Alexandria database.

Results
spin magnetization	0.0	μB/cell
volume	9.3	Å³/atom

Cell lengths 5.370, 5.370, 4.652 Å; angles 113.22, 113.22, 32.08 degrees
Positions (direct):
1 Li 0.119 0.119 0.293
2 Li 0.881 0.881 0.707
3 H 0.219 0.219 0.772
4 H 0.500 0.500 0.000
5 H 0.781 0.781 0.228
6 Pd 0.380 0.380 0.200
7 Pd 0.620 0.620 0.800

=====

What are the relative energies? In meV/atom: P 0; Q 36.

=====

P.
The following is a GGA-PBE calculation of Li2H4Pd5 after structural relaxation, from the Alexandria database.

Results
spin magnetization	0.0	μB/cell
volume	10.7	Å³/atom

Cell lengths 4.895, 5.108, 5.382 Å; angles 80.67, 89.23, 62.28 degrees
Positions (direct):
1 Li 0.021 0.235 0.073
2 Li 0.979 0.765 0.927
3 H 0.047 0.825 0.371
4 H 0.474 0.076 0.190
5 H 0.526 0.924 0.810
6 H 0.953 0.175 0.629
7 Pd 0.000 0.500 0.500
8 Pd 0.327 0.841 0.584
9 Pd 0.489 0.279 0.888
10 Pd 0.511 0.721 0.112
11 Pd 0.673 0.159 0.416

=====

Q.
The following is a GGA-PBE calculation of Li2H4Pd5 after structural relaxation, from the Alexandria database.

Results
spin magnetization	0.0	μB/cell
volume	10.4	Å³/atom

Cell lengths 6.310, 6.310, 7.276 Å; angles 117.81, 117.81, 26.88 degrees
Positions (direct):
1 Li 0.068 0.068 0.404
2 Li 0.932 0.932 0.596
3 H 0.138 0.138 0.701
4 H 0.463 0.463 0.808
5 H 0.537 0.537 0.192
6 H 0.862 0.862 0.299
7 Pd 0.000 0.000 0.000
8 Pd 0.290 0.290 0.706
9 Pd 0.362 0.362 0.157
10 Pd 0.638 0.638 0.843
11 Pd 0.710 0.710 0.294

=====

What are the relative energies? In meV/atom: P 38; Q 0.

=====

P.
The following is a GGA-PBE calculation of LiH5Pd4 after structural relaxation, from the Alexandria database.

Results
spin magnetization	0.0	μB/cell
volume	9.8	Å³/atom

Cell lengths 5.452, 7.830, 4.608 Å; angles 90.00, 90.00, 90.00 degrees
Positions (direct):
1 Li 0.250 0.250 0.108
2 Li 0.750 0.750 0.892
3 H 0.014 0.557 0.212
4 H 0.014 0.943 0.212
5 H 0.250 0.750 0.664
6 H 0.486 0.557 0.212
7 H 0.486 0.943 0.212
8 H 0.514 0.057 0.788
9 H 0.514 0.443 0.788
10 H 0.750 0.250 0.336
11 H 0.986 0.057 0.788
12 H 0.986 0.443 0.788
13 Pd 0.002 0.250 0.593
14 Pd 0.250 0.560 0.912
15 Pd 0.250 0.940 0.912
16 Pd 0.498 0.250 0.593
17 Pd 0.502 0.750 0.407
18 Pd 0.750 0.060 0.088
19 Pd 0.750 0.440 0.088
20 Pd 0.998 0.750 0.407

=====

Q.
The following is a GGA-PBE calculation of LiH5Pd4 after structural relaxation, from the Alexandria database.

Results
spin magnetization	0.0	μB/cell
volume	8.6	Å³/atom

Cell lengths 2.891, 5.056, 6.409 Å; angles 96.24, 102.95, 106.59 degrees
Positions (direct):
1 Li 0.000 0.000 0.000
2 H 0.091 0.911 0.307
3 H 0.256 0.641 0.879
4 H 0.500 0.500 0.500
5 H 0.744 0.359 0.121
6 H 0.909 0.089 0.693
7 Pd 0.199 0.794 0.615
8 Pd 0.407 0.626 0.195
9 Pd 0.593 0.374 0.805
10 Pd 0.801 0.206 0.385

=====

What are the relative energies? In meV/atom: P 121; Q 0.

=====

P.
The following is a GGA-PBE calculation of LiH3Pd3 after structural relaxation, from the Alexandria database.

Results
spin magnetization	0.0	μB/cell
volume	10.5	Å³/atom

Cell lengths 5.280, 5.280, 5.280 Å; angles 90.00, 90.00, 90.00 degrees
Positions (direct):
1 Li 0.000 0.000 0.000
2 Li 0.500 0.500 0.500
3 H 0.000 0.250 0.500
4 H 0.000 0.750 0.500
5 H 0.250 0.500 0.000
6 H 0.500 0.000 0.250
7 H 0.500 0.000 0.750
8 H 0.750 0.500 0.000
9 Pd 0.000 0.500 0.250
10 Pd 0.000 0.500 0.750
11 Pd 0.250 0.000 0.500
12 Pd 0.500 0.250 0.000
13 Pd 0.500 0.750 0.000
14 Pd 0.750 0.000 0.500

=====

Q.
The following is a GGA-PBE calculation of LiH3Pd3 after structural relaxation, from the Alexandria database.

Results
spin magnetization	0.0	μB/cell
volume	10.4	Å³/atom

Cell lengths 7.334, 7.334, 7.334 Å; angles 39.73, 39.73, 39.73 degrees
Positions (direct):
1 Li 0.167 0.167 0.167
2 Li 0.833 0.833 0.833
3 H 0.099 0.430 0.761
4 H 0.239 0.901 0.570
5 H 0.430 0.761 0.099
6 H 0.570 0.239 0.901
7 H 0.761 0.099 0.430
8 H 0.901 0.570 0.239
9 Pd 0.058 0.727 0.393
10 Pd 0.273 0.607 0.942
11 Pd 0.393 0.058 0.727
12 Pd 0.607 0.942 0.273
13 Pd 0.727 0.393 0.058
14 Pd 0.942 0.273 0.607

=====

What are the relative energies? In meV/atom: P 38; Q 0.

=====

P.
The following is a GGA-PBE calculation of Li2H2Pd3 after structural relaxation, from the Alexandria database.

Results
spin magnetization	0.0	μB/cell
volume	11.7	Å³/atom

Cell lengths 4.473, 4.473, 7.266 Å; angles 107.01, 107.01, 36.15 degrees
Positions (direct):
1 Li 0.168 0.168 0.275
2 Li 0.832 0.832 0.725
3 H 0.067 0.067 0.698
4 H 0.933 0.933 0.302
5 Pd 0.390 0.390 0.105
6 Pd 0.500 0.500 0.500
7 Pd 0.610 0.610 0.895

=====

Q.
The following is a GGA-PBE calculation of Li2H2Pd3 after structural relaxation, from the Alexandria database.

Results
spin magnetization	0.0	μB/cell
volume	10.9	Å³/atom

Cell lengths 2.847, 2.841, 9.563 Å; angles 90.00, 98.49, 90.00 degrees
Positions (direct):
1 Li 0.097 0.000 0.192
2 Li 0.903 0.000 0.808
3 H 0.405 0.500 0.810
4 H 0.595 0.500 0.190
5 Pd 0.313 0.500 0.623
6 Pd 0.500 0.500 0.000
7 Pd 0.687 0.500 0.377

=====

What are the relative energies? In meV/atom: P 0; Q 7.

=====

P.
The following is a GGA-PBE calculation of Li2HPd8 after structural relaxation, from the Alexandria database.

Results
spin magnetization	0.0	μB/cell
volume	13.6	Å³/atom

Cell lengths 7.430, 7.430, 4.169 Å; angles 106.30, 106.30, 125.07 degrees
Positions (direct):
1 Li 0.193 0.807 0.000
2 Li 0.807 0.193 0.000
3 H 0.500 0.500 0.950
4 Pd 0.001 0.001 0.999
5 Pd 0.139 0.356 0.747
6 Pd 0.294 0.706 0.501
7 Pd 0.356 0.139 0.747
8 Pd 0.501 0.501 0.499
9 Pd 0.645 0.862 0.253
10 Pd 0.706 0.294 0.501
11 Pd 0.862 0.645 0.253

=====

Q.
The following is a GGA-PBE calculation of Li2HPd8 after structural relaxation, from the Alexandria database.

Results
spin magnetization	0.0	μB/cell
volume	15.4	Å³/atom

Cell lengths 6.373, 6.373, 4.524 Å; angles 106.02, 106.02, 90.51 degrees
Positions (direct):
1 Li 0.110 0.110 0.437
2 Li 0.890 0.890 0.563
3 H 0.000 0.000 0.000
4 Pd 0.171 0.652 0.181
5 Pd 0.211 0.211 0.029
6 Pd 0.348 0.829 0.819
7 Pd 0.409 0.409 0.681
8 Pd 0.591 0.591 0.319
9 Pd 0.652 0.171 0.181
10 Pd 0.789 0.789 0.971
11 Pd 0.829 0.348 0.819

=====

What are the relative energies? In meV/atom: P 0; Q 263.